Record 1
Density functional theory data (GGA-PBE) for an optimized crystal structure of PmEr2ScTl2.

a = 4.9798 Å, b = 9.7838 Å, c = 6.8843 Å
α = 90.00°, β = 90.00°, γ = 90.00°
Closest atoms and distances in Å follow each position.
Fractional positions:
Pm 0.0000 0.0476 0.0000  5 Tl 3.22-3.39, 2 Sc 3.50, 2 Pm 3.57
Pm 0.0000 0.9524 0.5000  5 Tl 3.22-3.39, 2 Sc 3.50, 2 Pm 3.57
Er 0.0000 0.3145 0.3919  4 Tl 3.12-3.20, 2 Er 3.47
Er 0.0000 0.6855 0.8919  4 Tl 3.12-3.20, 2 Er 3.47
Er 0.5000 0.4512 0.0988  5 Tl 3.18-3.49, 2 Er 3.47, 1 Sc 3.51
Er 0.5000 0.5488 0.5988  5 Tl 3.18-3.49, 2 Er 3.47, 1 Sc 3.51
Sc 0.5000 0.1988 0.7133  4 Tl 3.10-3.21
Sc 0.5000 0.8012 0.2133  4 Tl 3.10-3.21
Tl 0.0000 0.3655 0.8387  2 Sc 3.10, 4 Er 3.12-3.18, 1 Pm 3.30
Tl 0.0000 0.6345 0.3387  2 Sc 3.10, 4 Er 3.12-3.18, 1 Pm 3.30
Tl 0.5000 0.1264 0.2756  2 Sc 3.10-3.21, 3 Er 3.20-3.40, 4 Pm 3.22-3.39
Tl 0.5000 0.8736 0.7756  2 Sc 3.10-3.21, 3 Er 3.20-3.40, 4 Pm 3.22-3.39

Results
Calculated formation energy = -0.26 eV per atom
M_tot = 0.0 μB/cell
Volume = 335.41 Å³/cell
Symmetry = No. 26

***

Record 2
Density functional theory data (GGA-PBE) for an optimized crystal structure of Th6AsRh2C3.

a = 9.0353 Å, b = 9.0353 Å, c = 8.1116 Å
α = 108.02°, β = 108.02°, γ = 24.68°
Closest atoms and distances in Å follow each position.
Fractional positions:
Th 0.0010 0.0010 0.2725  3 C 2.67-2.68, 2 As 2.93
Th 0.3219 0.3219 0.9119  3 C 2.68-2.76, 1 As 3.00
Th 0.3484 0.3484 0.3836  3 C 2.54-2.68, 1 Rh 2.82
Th 0.6516 0.6516 0.6164  3 C 2.54-2.68, 1 Rh 2.82
Th 0.6781 0.6781 0.0881  3 C 2.68-2.76, 1 As 3.00
Th 0.9990 0.9990 0.7275  3 C 2.67-2.68, 2 As 2.93
As 0.5000 0.5000 0.0000  6 Th 2.93-3.00
Rh 0.1880 0.1880 0.3789  6 Th 2.82-3.14, 2 Rh 3.11
Rh 0.8120 0.8120 0.6211  6 Th 2.82-3.14, 2 Rh 3.11
C 0.1587 0.1587 0.8499  6 Th 2.68-2.76
C 0.5000 0.5000 0.5000  6 Th 2.54-2.67
C 0.8413 0.8413 0.1501  6 Th 2.68-2.76

Results
Calculated formation energy = -0.59 eV per atom
M_tot = 0.0 μB/cell
Volume = 262.26 Å³/cell
Symmetry = No. 12

***

Record 3
Density functional theory data (GGA-PBE) for an optimized crystal structure of BeTc2Ru.

a = 3.5596 Å, b = 3.5596 Å, c = 8.3188 Å
α = 90.00°, β = 90.00°, γ = 90.00°
Closest atoms and distances in Å follow each position.
Fractional positions:
Be 0.0000 0.0000 0.0000  4 Ru 2.52, 8 Tc 2.74
Be 0.5000 0.5000 0.5000  4 Ru 2.52, 8 Tc 2.74
Tc 0.0000 0.5000 0.2500  4 Tc 2.52, 4 Ru 2.74, 4 Be 2.74
Tc 0.0000 0.5000 0.7500  4 Tc 2.52, 4 Be 2.74, 4 Ru 2.74
Tc 0.5000 0.0000 0.2500  4 Tc 2.52, 4 Ru 2.74, 4 Be 2.74
Tc 0.5000 0.0000 0.7500  4 Tc 2.52, 4 Be 2.74, 4 Ru 2.74
Ru 0.0000 0.0000 0.5000  4 Be 2.52, 8 Tc 2.74
Ru 0.5000 0.5000 0.0000  4 Be 2.52, 8 Tc 2.74

Results
Calculated formation energy = 0.02 eV per atom
M_tot = 0.0 μB/cell
Volume = 105.41 Å³/cell
Symmetry = No. 139

***

Record 4
Density functional theory data (GGA-PBE) for an optimized crystal structure of Nd12YEr6.

a = 9.2617 Å, b = 9.2617 Å, c = 9.2617 Å
α = 106.64°, β = 106.64°, γ = 106.64°
Closest atoms and distances in Å follow each position.
Fractional positions:
Nd 0.1335 0.2786 0.8270  5 Er 3.40-3.67, 3 Nd 3.42-3.59, 1 Y 3.53
Nd 0.1730 0.8665 0.7214  5 Er 3.40-3.67, 3 Nd 3.42-3.59, 1 Y 3.53
Nd 0.1926 0.4837 0.5810  4 Er 3.38-3.77, 6 Nd 3.42-3.59
Nd 0.2786 0.8270 0.1335  5 Er 3.40-3.67, 3 Nd 3.42-3.59, 1 Y 3.53
Nd 0.4190 0.8074 0.5163  4 Er 3.38-3.77, 6 Nd 3.42-3.59
Nd 0.4837 0.5810 0.1926  4 Er 3.38-3.77, 6 Nd 3.42-3.59
Nd 0.5163 0.4190 0.8074  4 Er 3.38-3.77, 6 Nd 3.42-3.59
Nd 0.5810 0.1926 0.4837  4 Er 3.38-3.77, 6 Nd 3.42-3.59
Nd 0.7214 0.1730 0.8665  5 Er 3.40-3.67, 3 Nd 3.42-3.59, 1 Y 3.53
Nd 0.8074 0.5163 0.4190  4 Er 3.38-3.77, 6 Nd 3.42-3.59
Nd 0.8270 0.1335 0.2786  5 Er 3.40-3.67, 3 Nd 3.42-3.59, 1 Y 3.53
Nd 0.8665 0.7214 0.1730  5 Er 3.40-3.67, 3 Nd 3.42-3.59, 1 Y 3.53
Y 0.0000 0.0000 0.0000  6 Nd 3.53, 6 Er 3.84
Er 0.0764 0.4560 0.1895  9 Nd 3.38-3.77
Er 0.1895 0.0764 0.4560  9 Nd 3.38-3.77
Er 0.4560 0.1895 0.0764  9 Nd 3.38-3.77
Er 0.5440 0.8105 0.9236  9 Nd 3.38-3.77
Er 0.8105 0.9236 0.5440  9 Nd 3.38-3.77
Er 0.9236 0.5440 0.8105  9 Nd 3.38-3.77

Results
Calculated formation energy = 0.24 eV per atom
M_tot = 0.0 μB/cell
Volume = 667.95 Å³/cell
Energy relative to the lowest polymorph listed for this composition = 105 meV per atom
Symmetry = No. 148

***

Record 5
Density functional theory data (GGA-PBE) for an optimized crystal structure of TlSi2Sb2.

a = 8.0861 Å, b = 8.0861 Å, c = 3.7066 Å
α = 90.00°, β = 90.00°, γ = 90.00°
Closest atoms and distances in Å follow each position.
Fractional positions:
Tl 0.0000 0.0000 0.0000  4 Si 3.26, 8 Sb 3.55
Tl 0.5000 0.5000 0.0000  4 Si 3.26, 8 Sb 3.55
Si 0.1136 0.3864 0.0000  1 Si 2.60
Si 0.3864 0.8864 0.0000  1 Si 2.60
Si 0.6136 0.1136 0.0000  1 Si 2.60
Si 0.8864 0.6136 0.0000  1 Si 2.60
Sb 0.1616 0.6616 0.5000  6 Si 2.92-3.17
Sb 0.3384 0.1616 0.5000  6 Si 2.92-3.17
Sb 0.6616 0.8384 0.5000  6 Si 2.92-3.17
Sb 0.8384 0.3384 0.5000  6 Si 2.92-3.17

Results
ΔE_f (raw) = 35 kJ/mol of atoms
M_tot = 0.0 μB/cell
Volume = 242.36 Å³/cell
Energy relative to the lowest polymorph listed for this composition = 115 meV per atom
Symmetry = No. 127

***

Record 6
Density functional theory data (GGA-PBE) for an optimized crystal structure of NbCo3Ni.

a = 4.2162 Å, b = 4.2162 Å, c = 4.2162 Å
α = 90.00°, β = 90.00°, γ = 90.00°
Closest atoms and distances in Å follow each position.
Fractional positions:
Nb 0.0000 0.0000 0.0000  12 Co 2.98
Co 0.0000 0.5000 0.5000  2 Ni 2.11
Co 0.5000 0.0000 0.5000  2 Ni 2.11
Co 0.5000 0.5000 0.0000  2 Ni 2.11
Ni 0.5000 0.5000 0.5000  6 Co 2.11

Results
Calculated formation energy = 1.02 eV per atom
M_tot = 6.8 μB/cell
Volume = 74.95 Å³/cell
Energy relative to the lowest polymorph listed for this composition = 664 meV per atom
Symmetry = No. 221

***

Record 7
Density functional theory data (GGA-PBE) for an optimized crystal structure of PmMg2AlPd2.

a = 5.1174 Å, b = 5.1174 Å, c = 10.5897 Å
α = 90.00°, β = 90.00°, γ = 90.00°
Closest atoms and distances in Å follow each position.
Fractional positions:
Pm 0.0000 0.0000 0.0000  2 Pd 2.94
Pm 0.5000 0.5000 0.5000  2 Pd 2.94
Mg 0.0000 0.5000 0.2500  4 Pd 2.58
Mg 0.0000 0.5000 0.7500  4 Pd 2.58
Mg 0.5000 0.0000 0.2500  4 Pd 2.58
Mg 0.5000 0.0000 0.7500  4 Pd 2.58
Al 0.0000 0.0000 0.5000  2 Pd 2.36
Al 0.5000 0.5000 0.0000  2 Pd 2.36
Pd 0.0000 0.0000 0.2774  1 Al 2.36, 4 Mg 2.58
Pd 0.0000 0.0000 0.7226  1 Al 2.36, 4 Mg 2.58
Pd 0.5000 0.5000 0.2226  1 Al 2.36, 4 Mg 2.58
Pd 0.5000 0.5000 0.7774  1 Al 2.36, 4 Mg 2.58

Results
Calculated formation energy = -0.34 eV per atom
M_tot = 0.0 μB/cell
Volume = 277.32 Å³/cell
Symmetry = No. 139

***

Record 8
Density functional theory data (GGA-PBE) for an optimized crystal structure of Sr2UGaTe5.

a = 10.3016 Å, b = 10.3016 Å, c = 13.6433 Å
α = 90.00°, β = 90.00°, γ = 154.90°
Closest atoms and distances in Å follow each position.
Fractional positions:
Sr 0.1183 0.8817 0.5000  7 Te 3.34-3.55
Sr 0.1215 0.8785 0.1395  6 Te 3.38-3.45
Sr 0.8785 0.1215 0.6395  6 Te 3.38-3.45
Sr 0.8817 0.1183 0.0000  7 Te 3.34-3.55
U 0.2029 0.7971 0.8359  6 Te 3.09-3.19
U 0.7971 0.2029 0.3359  6 Te 3.09-3.19
Ga 0.4385 0.5615 0.2578  4 Te 2.63-2.78
Ga 0.5615 0.4385 0.7578  4 Te 2.63-2.78
Te 0.0454 0.9546 0.8668  2 Ga 2.71
Te 0.2943 0.7057 0.4928  2 U 3.10, 2 Sr 3.45
Te 0.3123 0.6877 0.1746  1 Ga 2.78
Te 0.3560 0.6440 0.8220  1 U 3.09, 4 Sr 3.34-3.38
Te 0.4992 0.5008 0.0874  1 Ga 2.63
Te 0.5008 0.4992 0.5874  1 Ga 2.63
Te 0.6440 0.3560 0.3220  1 U 3.09, 4 Sr 3.34-3.38
Te 0.6877 0.3123 0.6746  1 Ga 2.78
Te 0.7057 0.2943 0.9928  2 U 3.10, 2 Sr 3.45
Te 0.9546 0.0454 0.3668  2 Ga 2.71

Results
ΔE_f (raw) = -97 kJ/mol of atoms
M_tot = 5.6 μB/cell
Volume = 614.19 Å³/cell
Symmetry = No. 36

***

Record 9
Density functional theory data (GGA-PBE) for an optimized crystal structure of TcNiIr2.

a = 2.7229 Å, b = 4.5024 Å, c = 4.5918 Å
α = 90.00°, β = 90.00°, γ = 90.00°
Closest atoms and distances in Å follow each position.
Fractional positions:
Tc 0.0000 0.0000 0.0000  4 Ir 2.63, 4 Ni 2.67, 2 Tc 2.72
Ni 0.5000 0.0000 0.5000  4 Ir 2.63, 4 Tc 2.67, 2 Ni 2.72
Ir 0.0000 0.5000 0.5000  4 Ni 2.63, 6 Ir 2.67-2.72
Ir 0.5000 0.5000 0.0000  4 Tc 2.63, 6 Ir 2.67-2.72

Results
Calculated formation energy = 0.26 eV per atom
M_tot = 0.1 μB/cell
Volume = 56.29 Å³/cell
Energy relative to the lowest polymorph listed for this composition = 380 meV per atom
Symmetry = No. 47

***

Record 10
Density functional theory data (GGA-PBE) for an optimized crystal structure of AlZn.

a = 2.8046 Å, b = 4.9561 Å, c = 5.2922 Å
α = 64.59°, β = 78.10°, γ = 89.80°
Closest atoms and distances in Å follow each position.
Fractional positions:
Al 0.1400 0.4576 0.2505  7 Zn 2.78-2.98, 5 Al 2.78-2.85
Al 0.8600 0.5424 0.7495  7 Zn 2.78-2.98, 5 Al 2.78-2.85
Zn 0.3727 0.0424 0.7510  5 Zn 2.73-2.88, 7 Al 2.78-2.98
Zn 0.6273 0.9576 0.2490  5 Zn 2.73-2.88, 7 Al 2.78-2.98

Results
Calculated formation energy = 0.07 eV per atom
M_tot = 0.0 μB/cell
Volume = 64.71 Å³/cell
Symmetry = No. 2

***

Record 11
Density functional theory data (GGA-PBE) for an optimized crystal structure of MnVRe.

a = 4.3273 Å, b = 4.3273 Å, c = 5.0460 Å
α = 90.00°, β = 90.00°, γ = 120.00°
Closest atoms and distances in Å follow each position.
Fractional positions:
Mn 0.3333 0.6667 0.2500  5 V 2.50-2.52
Mn 0.6667 0.3333 0.7500  5 V 2.50-2.52
V 0.3333 0.6667 0.7500  5 Mn 2.50-2.52
V 0.6667 0.3333 0.2500  5 Mn 2.50-2.52
Re 0.0000 0.0000 0.0000  2 Re 2.52, 6 Mn 2.80, 6 V 2.80
Re 0.0000 0.0000 0.5000  2 Re 2.52, 6 Mn 2.80, 6 V 2.80

Results
Calculated formation energy = 0.08 eV per atom
M_tot = 5.1 μB/cell
Volume = 81.83 Å³/cell
Energy relative to the lowest polymorph listed for this composition = 169 meV per atom
Symmetry = No. 194